PmNdSb: optimized geometry, PBE.

* formation energy (no corrections): -0.85 eV/atom
* offset from the most stable computed form: 0 meV/atom
* space group: I4/mmm
* crystal system: tetragonal

```
12
Lattice="4.567 0.000 0.000 0.000 4.567 0.000 0.000 0.000 17.669" Properties=species:S:1:pos:R:3 pbc="T T T"
Pm 0.000 2.284 0.000
Pm 0.000 2.284 8.835
Pm 2.284 0.000 0.000
Pm 2.284 0.000 8.835
Nd 0.000 0.000 3.154
Nd 0.000 0.000 14.515
Nd 2.284 2.284 5.680
Nd 2.284 2.284 11.989
Sb 0.000 0.000 6.403
Sb 0.000 0.000 11.266
Sb 2.284 2.284 2.431
Sb 2.284 2.284 15.238
```


BeCu3: optimized geometry, PBE.

* energy of formation: 105 meV/atom
* space group: Pm-3n
* crystal system: cubic

```
8
Lattice="4.486 0.000 0.000 0.000 4.486 0.000 0.000 0.000 4.486" Properties=species:S:1:pos:R:3 pbc="T T T"
Be 0.000 0.000 0.000
Be 2.243 2.243 2.243
Cu 0.000 1.122 2.243
Cu 0.000 3.365 2.243
Cu 1.122 2.243 0.000
Cu 2.243 0.000 1.122
Cu 2.243 0.000 3.365
Cu 3.365 2.243 0.000
```


Tb6SmEr5: optimized geometry, PBE.

* energy of formation: 17 meV/atom
* space group: C2/m
* crystal system: monoclinic

```
12
Lattice="3.069 -5.310 0.000 3.069 5.310 0.000 -2.038 0.000 11.556" Properties=species:S:1:pos:R:3 pbc="T T T"
Tb 0.006 1.773 8.681
Tb 1.030 0.000 2.877
Tb 0.006 -1.773 8.681
Tb 4.093 1.773 2.875
Tb 3.070 0.000 8.679
Tb 4.093 -1.773 2.875
Sm -1.019 0.000 5.778
Er 3.069 3.538 0.000
Er 2.050 1.771 5.778
Er 3.069 0.000 0.000
Er 2.050 -1.771 5.778
Er 3.069 -3.538 0.000
```


BC2: optimized geometry, PBE.

* energy of formation: 336 meV/atom
* offset from the most stable computed form: 96 meV/atom
* space group: Cm
* crystal system: monoclinic

```
12
Lattice="4.255 -1.257 0.000 4.255 1.257 0.000 -3.857 0.000 7.029" Properties=species:S:1:pos:R:3 pbc="T T T"
B 0.000 0.000 0.000
B 0.526 0.000 4.513
B 2.297 0.000 4.300
B 3.890 0.000 5.405
C -1.586 0.000 3.289
C -2.262 0.000 6.741
C -0.074 0.000 3.016
C 2.282 0.000 1.139
C 3.788 0.000 0.911
C 2.419 0.000 6.002
C 4.591 0.000 2.221
C 6.116 0.000 1.962
```


Li2MgZnGa: optimized geometry, PBE.

* energy of formation: 149 meV/atom
* space group: P4/mmm
* crystal system: tetragonal

```
5
Lattice="4.825 0.000 0.000 0.000 4.825 0.000 0.000 0.000 4.629" Properties=species:S:1:pos:R:3 pbc="T T T"
Li 0.000 2.412 0.000
Li 2.412 0.000 0.000
Mg 0.000 0.000 2.315
Zn 2.412 2.412 2.315
Ga 2.412 2.412 0.000
```


Tb2Sm6DyY: optimized geometry, PBE.

* energy of formation: 116 meV/atom
* space group: C2/c
* crystal system: monoclinic

```
20
Lattice="4.574 -7.646 0.000 4.574 7.646 0.000 -1.284 0.000 9.570" Properties=species:S:1:pos:R:3 pbc="T T T"
Tb 2.231 0.797 0.420
Tb 1.589 -0.797 5.204
Tb 6.275 0.797 4.365
Tb 5.633 -0.797 9.150
Sm 2.435 4.217 1.785
Sm 3.307 4.845 5.306
Sm 3.916 4.845 9.049
Sm 3.140 1.629 3.639
Sm 6.071 4.217 3.000
Sm 5.367 1.629 1.146
Sm 2.498 -1.629 8.424
Sm 1.793 -4.217 6.570
Sm 4.725 -1.629 5.931
Sm 3.949 -4.845 0.521
Sm 4.558 -4.845 4.264
Sm 5.429 -4.217 7.785
Dy 3.611 1.384 7.177
Dy 4.253 -1.384 2.392
Y 4.253 7.275 2.392
Y 3.611 -7.275 7.177
```


no.,calculated total energy (eV/atom)
1,-5.40
2,-3.90
3,-4.59
4,-8.04
5,-1.80
6,-4.75